# Ba2LaAs | Alexandria via LeMat-Bulk | PBE | optimized geometry
data_Ba2LaAs
_chemical_formula_sum 'Ba6 La3 As3'
_symmetry_space_group_name_H-M 'R -3 m'
_symmetry_Int_Tables_number 166
_symmetry_space_group_name_Hall '-R 3 2"'
_cell_length_a 4.4804
_cell_length_b 4.4804
_cell_length_c 33.2838
_cell_angle_alpha 90.00
_cell_angle_beta 90.00
_cell_angle_gamma 120.00
loop_
_atom_site_label
_atom_site_type_symbol
_atom_site_fract_x
_atom_site_fract_y
_atom_site_fract_z
Ba1 Ba 0.0000 0.0000 0.2225
La1 La 0.0000 0.0000 0.0000
As1 As 0.0000 0.0000 0.5000
# Energy of formation (eV/atom): -0.339
# M_tot (Bohr magnetons per cell): 6.4
# VASP energy (eV per atom): -3.695